[1]
Density functional theory data (GGA-PBE) for CaTe2P after structural relaxation.

It has space group R-3m (No. 166, hexagonal axes), with a = 4.5280 Å, b = 4.5280 Å, c = 25.8495 Å, α = 90.00°, β = 90.00° and γ = 120.00°. The distinct sites, in fractional coordinates, are Ca at (0.0000, 0.0000, 0.0000), Te at (0.0000, 0.0000, 0.4016) and P at (0.0000, 0.0000, 0.5000).

The raw formation energy comes out at -0.40 eV/f.u.


[2]
Density functional theory data (GGA-PBE) for Tm3Ti5S12 after structural relaxation.

It has space group Ia-3d (No. 230), with a = 15.035 Å, b = 15.035 Å, c = 15.035 Å, α = 90.00°, β = 90.00° and γ = 90.00°. The distinct sites, in fractional coordinates, are Tm at (0.000, 0.250, 0.125), Ti at (0.000, 0.000, 0.000), Ti at (0.000, 0.250, 0.375) and S at (0.027, 0.063, 0.651).

The raw formation energy comes out at -28.76 eV/f.u.


[3]
Density functional theory data (GGA-PBE) for Hf6CdPd12 after structural relaxation.

It has space group R-3 (No. 148, hexagonal axes), with a = 10.2338 Å, b = 10.2338 Å, c = 11.2339 Å, α = 90.00°, β = 90.00° and γ = 120.00°. The distinct sites, in fractional coordinates, are Hf at (0.0168, 0.5892, 0.2391), Cd at (0.0000, 0.0000, 0.5000), Pd at (0.0488, 0.8568, 0.3218) and Pd at (0.0629, 0.1890, 0.8975).

The calculation puts the formation enthalpy at 0 K at -0.55 eV per atom.


[4]
Density functional theory data (GGA-PBE) for KGeBr3 after structural relaxation.

It has space group P1 (No. 1), with a = 4.641 Å, b = 8.172 Å, c = 10.598 Å, α = 98.78°, β = 101.30° and γ = 90.31°. The distinct sites, in fractional coordinates, are K at (0.000, 0.000, 0.000), K at (0.268, 0.461, 0.623), Ge at (0.391, 0.926, 0.405), Ge at (0.573, 0.471, 0.028), Br at (0.020, 0.376, 0.172), Br at (0.444, 0.199, 0.862), Br at (0.578, 0.857, 0.191), Br at (0.697, 0.191, 0.486), Br at (0.720, 0.738, 0.532) and Br at (0.850, 0.602, 0.871).

The raw formation energy comes out at -5.07 eV/f.u.


[5]
Density functional theory data (GGA-PBE) for Sr6Al2Sn after structural relaxation.

It has space group Immm (No. 71), with a = 10.796 Å, b = 10.986 Å, c = 11.851 Å, α = 90.00°, β = 90.00° and γ = 90.00°. The distinct sites, in fractional coordinates, are Sr at (0.000, 0.192, 0.249), Sr at (0.192, 0.500, 0.335), Sr at (0.228, 0.321, 0.000), Al at (0.000, 0.328, 0.500), Al at (0.000, 0.500, 0.110), Sn at (0.000, 0.000, 0.000) and Sn at (0.000, 0.000, 0.500).

The calculation puts the formation enthalpy at 0 K at -0.24 eV per atom.


[6]
Density functional theory data (GGA-PBE) for Ni5Ge after structural relaxation.

It has space group Cmmm (No. 65), with a = 3.609 Å, b = 10.520 Å, c = 3.551 Å, α = 90.00°, β = 90.00° and γ = 90.00°. The distinct sites, in fractional coordinates, are Ni at (0.000, 0.000, 0.000), Ni at (0.000, 0.167, 0.500), Ni at (0.000, 0.332, 0.000) and Ge at (0.000, 0.500, 0.500).

The calculation puts the formation enthalpy at 0 K at -0.16 eV per atom.


[7]
Density functional theory data (GGA-PBE) for SrSi2BS6 after structural relaxation.

It has space group C2/c (No. 15), with a = 13.138 Å, b = 10.677 Å, c = 7.938 Å, α = 90.00°, β = 123.64° and γ = 90.00°. The distinct sites, in fractional coordinates, are Sr at (0.000, 0.185, 0.250), Si at (0.204, 0.434, 0.096), B at (0.000, 0.182, 0.750), S at (0.099, 0.080, 0.688), S at (0.103, 0.259, 0.011) and S at (0.161, 0.445, 0.356).

The raw formation energy comes out at -6.51 eV/f.u.


[8]
Density functional theory data (GGA-PBE) for Ba3Cd4Au4 after structural relaxation.

It has space group Immm (No. 71), with a = 4.688 Å, b = 8.316 Å, c = 15.942 Å, α = 90.00°, β = 90.00° and γ = 90.00°. The distinct sites, in fractional coordinates, are Ba at (0.000, 0.000, 0.000), Ba at (0.000, 0.500, 0.127), Cd at (0.000, 0.309, 0.327), Au at (0.000, 0.000, 0.220) and Au at (0.000, 0.189, 0.500).

The energy above the most stable polymorph in this dataset is 0.000 eV per atom. The calculation puts the formation enthalpy at 0 K at -0.55 eV per atom.


no.,magnetic moment (μB per atom),calculated volume (Å³ per atom),N(E_F) (states/eV/cell)
1,0.0000,38.25,8.94
2,0.2432,21.24,113.61
3,0.0000,17.88,28.70
4,0.0000,38.93,0.00
5,0.0000,39.04,27.18
6,0.1758,11.23,16.25
7,0.0000,23.18,9.16
8,0.0000,28.25,10.67